1.
# CaBiBr6 | Alexandria | PBE | relaxed
data_CaBiBr6
_chemical_formula_sum 'Ca1 Bi1 Br6'
_cell_length_a 7.109
_cell_length_b 7.113
_cell_length_c 7.612
_cell_angle_alpha 62.21
_cell_angle_beta 62.20
_cell_angle_gamma 60.04
_symmetry_space_group_name_H-M 'P 1'
_symmetry_Int_Tables_number 1
_symmetry_space_group_name_Hall 'P 1'
loop_
_atom_site_label
_atom_site_fract_x
_atom_site_fract_y
_atom_site_fract_z
_atom_site_occupancy
Ca1 0.500 0.500 0.500 1
Bi1 0.000 0.000 0.000 1
Br1 0.070 0.421 0.748 1
Br2 0.761 0.070 0.748 1
Br3 0.579 0.239 0.251 1
Br4 0.239 0.930 0.252 1
Br5 0.930 0.579 0.252 1
Br6 0.421 0.761 0.749 1
# - D(E_F): 1.76 states/eV/atom
# - E_form (uncorrected): -0.9870 eV/atom



2.
# KPSe4 | Alexandria | PBE | relaxed
data_KPSe4
_chemical_formula_sum 'K2 P2 Se8'
_cell_length_a 7.177
_cell_length_b 7.177
_cell_length_c 9.282
_cell_angle_alpha 90.00
_cell_angle_beta 90.00
_cell_angle_gamma 90.00
_symmetry_space_group_name_H-M 'P 1'
_symmetry_Int_Tables_number 1
_symmetry_space_group_name_Hall 'P 1'
loop_
_atom_site_label
_atom_site_fract_x
_atom_site_fract_y
_atom_site_fract_z
_atom_site_occupancy
P1 0.000 0.500 0.500 1
P2 0.500 0.000 0.500 1
K1 0.000 0.500 0.000 1
K2 0.500 0.000 0.000 1
Se1 0.735 0.000 0.694 1
Se2 0.265 0.000 0.694 1
Se3 0.000 0.265 0.694 1
Se4 0.000 0.735 0.694 1
Se5 0.000 0.735 0.306 1
Se6 0.000 0.265 0.306 1
Se7 0.265 0.000 0.306 1
Se8 0.735 0.000 0.306 1
# - D(E_F): 0.47 states/eV/atom
# - Energy relative to the lowest polymorph listed for this composition: 0.343 eV per atom
# - E_form (uncorrected): 0.0016 eV/atom



3.
# CeVP2N6 | Alexandria | PBE | relaxed
data_CeVP2N6
_chemical_formula_sum 'Ce2 V2 P4 N12'
_cell_length_a 5.635
_cell_length_b 7.091
_cell_length_c 7.091
_cell_angle_alpha 88.68
_cell_angle_beta 74.04
_cell_angle_gamma 74.04
_symmetry_space_group_name_H-M 'P 1'
_symmetry_Int_Tables_number 1
_symmetry_space_group_name_Hall 'P 1'
loop_
_atom_site_label
_atom_site_fract_x
_atom_site_fract_y
_atom_site_fract_z
_atom_site_occupancy
Ce1 0.250 0.883 0.117 1
Ce2 0.750 0.117 0.883 1
V1 0.250 0.239 0.761 1
V2 0.750 0.761 0.239 1
P1 0.298 0.783 0.634 1
P2 0.202 0.366 0.217 1
P3 0.702 0.217 0.366 1
P4 0.798 0.634 0.783 1
N1 0.196 0.999 0.760 1
N2 0.304 0.240 0.001 1
N3 0.804 0.001 0.240 1
N4 0.696 0.760 0.999 1
N5 0.425 0.796 0.399 1
N6 0.075 0.601 0.204 1
N7 0.575 0.204 0.601 1
N8 0.925 0.399 0.796 1
N9 0.018 0.737 0.661 1
N10 0.482 0.339 0.263 1
N11 0.982 0.263 0.339 1
N12 0.518 0.661 0.737 1
# - D(E_F): 0.50 states/eV/atom
# - E_form (uncorrected): -0.6496 eV/atom



4.
# KGeBi3 | Alexandria | PBE | relaxed
data_KGeBi3
_chemical_formula_sum 'K1 Ge1 Bi3'
_cell_length_a 5.875
_cell_length_b 5.875
_cell_length_c 5.875
_cell_angle_alpha 90.00
_cell_angle_beta 90.00
_cell_angle_gamma 90.00
_symmetry_space_group_name_H-M 'P 1'
_symmetry_Int_Tables_number 1
_symmetry_space_group_name_Hall 'P 1'
loop_
_atom_site_label
_atom_site_fract_x
_atom_site_fract_y
_atom_site_fract_z
_atom_site_occupancy
K1 0.000 0.000 0.000 1
Ge1 0.500 0.500 0.500 1
Bi1 0.000 0.500 0.000 1
Bi2 0.000 0.000 0.500 1
Bi3 0.500 0.000 0.000 1
# - Calculated formation energy: 125.24 kJ/mol of atoms
# - D(E_F): 1.61 states/eV/atom
# - Energy relative to the lowest polymorph listed for this composition: 1.062 eV per atom



5.
# PmDy3S4 | Alexandria | PBE | relaxed
data_PmDy3S4
_chemical_formula_sum 'Pm1 Dy3 S4'
_cell_length_a 5.572
_cell_length_b 5.572
_cell_length_c 5.572
_cell_angle_alpha 90.00
_cell_angle_beta 90.00
_cell_angle_gamma 90.00
_symmetry_space_group_name_H-M 'P 1'
_symmetry_Int_Tables_number 1
_symmetry_space_group_name_Hall 'P 1'
loop_
_atom_site_label
_atom_site_fract_x
_atom_site_fract_y
_atom_site_fract_z
_atom_site_occupancy
Pm1 0.000 0.000 0.000 1
Dy1 0.000 0.500 0.500 1
Dy2 0.500 0.000 0.500 1
Dy3 0.500 0.500 0.000 1
S1 0.500 0.000 0.000 1
S2 0.000 0.500 0.000 1
S3 0.000 0.000 0.500 1
S4 0.500 0.500 0.500 1
# - D(E_F): 0.55 states/eV/atom
# - Energy relative to the lowest polymorph listed for this composition: 0.017 eV per atom
# - E_form (uncorrected): -1.9822 eV/atom



6.
# K2TaAu2 | Alexandria | PBE | relaxed
data_K2TaAu2
_chemical_formula_sum 'K4 Ta2 Au4'
_cell_length_a 6.990
_cell_length_b 6.990
_cell_length_c 5.718
_cell_angle_alpha 90.00
_cell_angle_beta 90.00
_cell_angle_gamma 90.00
_symmetry_space_group_name_H-M 'P 1'
_symmetry_Int_Tables_number 1
_symmetry_space_group_name_Hall 'P 1'
loop_
_atom_site_label
_atom_site_fract_x
_atom_site_fract_y
_atom_site_fract_z
_atom_site_occupancy
K1 0.174 0.674 0.500 1
K2 0.674 0.826 0.500 1
K3 0.826 0.326 0.500 1
K4 0.326 0.174 0.500 1
Au1 0.358 0.858 0.000 1
Au2 0.858 0.642 0.000 1
Au3 0.642 0.142 0.000 1
Au4 0.142 0.358 0.000 1
Ta1 0.000 0.000 0.000 1
Ta2 0.500 0.500 0.000 1
# - Calculated formation energy: 37.23 kJ/mol of atoms
# - D(E_F): 0.48 states/eV/atom
# - Energy relative to the lowest polymorph listed for this composition: 0.000 eV per atom